DFT (PBE-GGA) results for crystalline CsTcN2 at its relaxed geometry.

Properties
For the final energy, the calculation gives -6.305 eV per atom. For the offset from the most stable computed form, the calculation gives 0.858 eV per atom. For the formation energy from raw total energies, the calculation gives 255.8 kJ/mol of formula units. Its total moment is 0.89 μB/f.u.

Cell: 7.523 7.523 7.523 Å, 25.29 25.29 25.29°
Site moments in Bohr magnetons follow the coordinates.
Sites, in units of the cell vectors:
N 0.873 0.873 0.873  -0.02
Cs 0.000 0.000 0.000  0.01
Tc 0.500 0.500 0.500  0.83
N 0.127 0.127 0.127  -0.02